(1)
# PBE-GGA YMg2Cu, relaxed
data_YMg2Cu
_chemical_formula_sum 'Y1 Mg2 Cu1'
_space_group_name_H-M_alt 'P 1 2/m 1'
_space_group_IT_number 10
_space_group_name_Hall '-P 2y'
_cell_length_a 3.439
_cell_length_b 4.843
_cell_length_c 5.497
_cell_angle_alpha 90.00
_cell_angle_beta 102.22
_cell_angle_gamma 90.00
loop_
_atom_site_label
_atom_site_type_symbol
_atom_site_fract_x
_atom_site_fract_y
_atom_site_fract_z
_atom_site_occupancy
Y1 Y 0.000 0.000 0.000 1
Mg1 Mg 0.358 0.500 0.723 1
Cu1 Cu 0.500 0.000 0.500 1
# mass density	3.73	Mg/m³
# DFT formation energy	3	meV/atom

(2)
# PBE-GGA Th4RhC2N, relaxed
data_Th4RhC2N
_chemical_formula_sum 'Th4 Rh1 C2 N1'
_space_group_name_H-M_alt 'P 1 2/m 1'
_space_group_IT_number 10
_space_group_name_Hall '-P 2y'
_cell_length_a 6.684
_cell_length_b 3.776
_cell_length_c 6.737
_cell_angle_alpha 90.00
_cell_angle_beta 108.63
_cell_angle_gamma 90.00
loop_
_atom_site_label
_atom_site_type_symbol
_atom_site_fract_x
_atom_site_fract_y
_atom_site_fract_z
_atom_site_occupancy
Th1 Th 0.233 0.000 0.227 1
Th2 Th 0.242 0.500 0.755 1
Rh1 Rh 0.500 0.500 0.500 1
C1 C 0.000 0.500 0.000 1
C2 C 0.500 0.000 0.000 1
N1 N 0.000 0.000 0.500 1
# mass density	11.02	Mg/m³
# ΔE_f (raw)	-0.60	eV/atom

(3)
# PBE-GGA DyY5Er3, relaxed
data_DyY5Er3
_chemical_formula_sum 'Dy4 Y20 Er12'
_space_group_name_H-M_alt 'C 1 2/c 1'
_space_group_IT_number 15
_space_group_name_Hall '-C 2yc'
_cell_length_a 16.486
_cell_length_b 10.268
_cell_length_c 6.980
_cell_angle_alpha 90.00
_cell_angle_beta 102.11
_cell_angle_gamma 90.00
loop_
_atom_site_label
_atom_site_type_symbol
_atom_site_fract_x
_atom_site_fract_y
_atom_site_fract_z
_atom_site_occupancy
Dy1 Dy 0.000 0.186 0.250 1
Y1 Y 0.000 0.184 0.750 1
Y2 Y 0.178 0.334 0.090 1
Y3 Y 0.178 0.334 0.590 1
Er1 Er 0.000 0.500 0.000 1
Er2 Er 0.157 0.000 0.078 1
# mass density	6.38	Mg/m³
# DFT formation energy	116	meV/atom
# energy above the lowest structure with this stoichiometry	0.000	eV per atom

Please write out number 2 again, unchanged.
# PBE-GGA Th4RhC2N, relaxed
data_Th4RhC2N
_chemical_formula_sum 'Th4 Rh1 C2 N1'
_space_group_name_H-M_alt 'P 1 2/m 1'
_space_group_IT_number 10
_space_group_name_Hall '-P 2y'
_cell_length_a 6.684
_cell_length_b 3.776
_cell_length_c 6.737
_cell_angle_alpha 90.00
_cell_angle_beta 108.63
_cell_angle_gamma 90.00
loop_
_atom_site_label
_atom_site_type_symbol
_atom_site_fract_x
_atom_site_fract_y
_atom_site_fract_z
_atom_site_occupancy
Th1 Th 0.233 0.000 0.227 1
Th2 Th 0.242 0.500 0.755 1
Rh1 Rh 0.500 0.500 0.500 1
C1 C 0.000 0.500 0.000 1
C2 C 0.500 0.000 0.000 1
N1 N 0.000 0.000 0.500 1
# mass density	11.02	Mg/m³
# ΔE_f (raw)	-0.60	eV/atom